Record 1
Compound: Np3UPa2P6
Source: Alexandria via LeMat-Bulk
Functional: PBE-GGA
Structure: relaxed

## Properties
* energy: -9.506 eV per atom
* density of states at the Fermi level: 30.80 states/eV per cell
* energy of formation: -12.5 eV/f.u.
* total magnetization: 13.95 μB/f.u.

a b c (Å): 8.819 8.819 7.906
angles (deg): 101.98 101.98 26.00
Fractional coordinates of all 12 atoms:
Np1 0.000 0.000 0.000
Np2 0.334 0.334 0.666
Np3 0.666 0.666 0.334
U1 0.000 0.000 0.500
Pa1 0.333 0.333 0.166
Pa2 0.667 0.667 0.834
P1 0.166 0.166 0.085
P2 0.166 0.166 0.583
P3 0.500 0.500 0.251
P4 0.500 0.500 0.749
P5 0.834 0.834 0.417
P6 0.834 0.834 0.915



Record 2
Compound: Ba2ScCrN4
Source: Alexandria via LeMat-Bulk
Functional: PBE-GGA
Structure: relaxed

## Properties
* energy: -7.306 eV per atom
* density of states at the Fermi level: 7.53 states/eV per cell
* total magnetization: 0.00 μB/f.u.
* formation energy (no corrections): -0.668 eV per atom

a b c (Å): 11.878 10.699 6.365
angles (deg): 84.14 63.64 32.21
Fractional coordinates of all 16 atoms:
Ba1 0.055 0.055 0.695
Ba2 0.305 0.305 0.945
Ba3 0.695 0.695 0.055
Ba4 0.945 0.945 0.305
Sc1 0.125 0.125 0.125
Sc2 0.875 0.875 0.875
Cr1 0.375 0.375 0.375
Cr2 0.625 0.625 0.625
N1 0.028 0.635 0.539
N2 0.298 0.539 0.635
N3 0.365 0.972 0.702
N4 0.461 0.702 0.972
N5 0.539 0.298 0.028
N6 0.635 0.028 0.298
N7 0.702 0.461 0.365
N8 0.972 0.365 0.461



Record 3
Compound: RbAc2PtO5
Source: Alexandria via LeMat-Bulk
Functional: PBE-GGA
Structure: relaxed

## Properties
* energy: -6.508 eV per atom
* density of states at the Fermi level: 11.69 states/eV per cell
* total magnetization: 1.03 μB/f.u.
* formation energy (no corrections): -2.061 eV per atom

a b c (Å): 8.058 8.058 8.058
angles (deg): 126.68 126.68 78.77
Fractional coordinates of all 18 atoms:
Rb1 0.250 0.250 0.000
Rb2 0.750 0.750 0.000
Ac1 0.181 0.681 0.862
Ac2 0.319 0.181 0.500
Ac3 0.681 0.819 0.500
Ac4 0.819 0.319 0.138
Pt1 0.250 0.750 0.500
Pt2 0.750 0.250 0.500
O1 0.000 0.000 0.000
O2 0.003 0.255 0.500
O3 0.245 0.497 0.500
O4 0.255 0.755 0.252
O5 0.497 0.997 0.252
O6 0.500 0.500 0.000
O7 0.503 0.003 0.748
O8 0.745 0.245 0.748
O9 0.755 0.503 0.500
O10 0.997 0.745 0.500



Record 4
Compound: TiNbCoBr
Source: Alexandria via LeMat-Bulk
Functional: PBE-GGA
Structure: relaxed

## Properties
* energy: -6.890 eV per atom
* energy above the most stable polymorph in this dataset: 0.00 kcal/mol of atoms
* density of states at the Fermi level: 2.71 states/eV per cell
* total magnetization: 0.00 μB/f.u.
* formation energy (no corrections): -0.204 eV per atom

a b c (Å): 3.712 3.712 6.805
angles (deg): 90.00 90.00 120.00
Fractional coordinates of all 4 atoms:
Ti1 0.000 0.000 0.000
Nb1 0.667 0.333 0.313
Co1 0.333 0.667 0.166
Br1 0.667 0.333 0.711



Record 5
Compound: RbSrCeBr6
Source: Alexandria via LeMat-Bulk
Functional: PBE-GGA
Structure: relaxed

## Properties
* energy: -3.994 eV per atom
* density of states at the Fermi level: 16.40 states/eV per cell
* total magnetization: 1.00 μB/f.u.
* formation energy (no corrections): -1.925 eV per atom

a b c (Å): 7.861 7.861 14.765
angles (deg): 90.00 90.00 120.00
Fractional coordinates of all 18 atoms:
Rb1 0.000 0.000 0.000
Rb2 0.000 0.000 0.500
Sr1 0.333 0.667 0.250
Sr2 0.667 0.333 0.750
Ce1 0.333 0.667 0.750
Ce2 0.667 0.333 0.250
Br1 0.013 0.376 0.637
Br2 0.013 0.637 0.863
Br3 0.363 0.376 0.863
Br4 0.363 0.987 0.637
Br5 0.376 0.013 0.137
Br6 0.376 0.363 0.363
Br7 0.624 0.637 0.637
Br8 0.624 0.987 0.863
Br9 0.637 0.013 0.363
Br10 0.637 0.624 0.137
Br11 0.987 0.363 0.137
Br12 0.987 0.624 0.363



Record 6
Compound: Pr2Ni4Ge
Source: Alexandria via LeMat-Bulk
Functional: PBE-GGA
Structure: relaxed

## Properties
* energy: -5.568 eV per atom
* density of states at the Fermi level: 5.69 states/eV per cell
* energy of formation: -1.7 eV/f.u.
* total magnetization: 0.00 μB/f.u.

a b c (Å): 6.019 5.708 5.637
angles (deg): 64.08 58.53 57.39
Fractional coordinates of all 7 atoms:
Pr1 0.000 0.000 0.500
Pr2 0.500 0.500 0.000
Ni1 0.019 0.479 0.521
Ni2 0.073 0.430 0.927
Ni3 0.430 0.073 0.570
Ni4 0.479 0.019 0.981
Ge1 0.764 0.764 0.236



Record 7
Compound: Rb3NiAg2Br8
Source: Alexandria via LeMat-Bulk
Functional: PBE-GGA
Structure: relaxed

## Properties
* energy: -2.870 eV per atom
* density of states at the Fermi level: 2.35 states/eV per cell
* total magnetization: 1.02 μB/f.u.
* formation energy (no corrections): -0.886 eV per atom

a b c (Å): 7.465 7.465 10.062
angles (deg): 90.00 90.00 120.00
Fractional coordinates of all 14 atoms:
Rb1 0.000 0.000 0.000
Rb2 0.333 0.667 0.623
Rb3 0.667 0.333 0.377
Ni1 0.000 0.000 0.500
Ag1 0.333 0.667 0.205
Ag2 0.667 0.333 0.795
Br1 0.156 0.311 0.350
Br2 0.156 0.844 0.350
Br3 0.311 0.156 0.650
Br4 0.333 0.667 0.955
Br5 0.667 0.333 0.045
Br6 0.689 0.844 0.350
Br7 0.844 0.156 0.650
Br8 0.844 0.689 0.650



Record 8
Compound: KPtBr
Source: Alexandria via LeMat-Bulk
Functional: PBE-GGA
Structure: relaxed

## Properties
* energy: -3.553 eV per atom
* energy above the most stable polymorph in this dataset: 1.28 kcal/mol of atoms
* total magnetization: 0.00 μB/f.u.
* formation energy (no corrections): -0.616 eV per atom

a b c (Å): 5.141 17.267 4.226
angles (deg): 90.00 90.00 90.00
Fractional coordinates of all 12 atoms:
K1 0.000 0.118 0.000
K2 0.000 0.882 0.500
K3 0.500 0.382 0.500
K4 0.500 0.618 0.000
Pt1 0.000 0.462 0.110
Pt2 0.000 0.538 0.610
Pt3 0.500 0.038 0.610
Pt4 0.500 0.962 0.110
Br1 0.000 0.325 0.917
Br2 0.000 0.675 0.417
Br3 0.500 0.175 0.417
Br4 0.500 0.825 0.917